Material: K2CaTeSe4
Method: DFT, PBE-GGA
State: optimized geometry

abc: 8.785 8.785 8.954
angles: 120.64 120.64 89.96
Element x y z (fractional)
K (0.000, 0.000, 0.500)
Te (0.000, 0.000, 0.000)
K (0.500, 0.000, 0.500)
Se (0.210, 0.751, 0.980)
Ca (0.000, 0.500, 0.500)
Se (0.242, 0.258, 0.465)
K (0.500, 0.500, 0.000)
Se (0.251, 0.710, 0.480)
K (0.500, 0.000, 0.000)
Se (0.749, 0.290, 0.520)
Ca (0.000, 0.500, 0.000)
Se (0.758, 0.742, 0.965)
Se (0.758, 0.742, 0.535)
Te (0.500, 0.500, 0.500)
Se (0.790, 0.249, 0.020)
Se (0.242, 0.258, 0.035)

Summary:
total moment = 0.000 μB per atom
E = -3.6389 eV per atom
ΔE_f (raw) = -756 kJ/mol of formula units



Material: K2CaThSe4
Method: DFT, PBE-GGA
State: optimized geometry

abc: 4.373 7.481 8.066
angles: 108.08 90.00 90.00
Element x y z (fractional)
Se (0.500, 0.771, 0.791)
K (0.000, 0.500, 0.500)
Ca (0.500, 0.500, 0.000)
Se (0.500, 0.229, 0.209)
Se (0.000, 0.255, 0.793)
Th (0.000, 0.000, 0.000)
Se (0.000, 0.745, 0.207)
K (0.500, 0.000, 0.500)

Summary:
total moment = 0.000 μB per atom
E = -4.9014 eV per atom
ΔE_f (raw) = -1318 kJ/mol of formula units



Material: K2CaUSe6
Method: DFT, PBE-GGA
State: optimized geometry

abc: 7.789 7.800 11.011
angles: 90.00 89.89 90.00
Element x y z (fractional)
U (0.500, 0.000, 0.500)
Se (0.744, 0.762, 0.501)
K (0.001, 0.999, 0.250)
Se (0.002, 0.500, 0.759)
Se (0.238, 0.257, 0.000)
K (0.499, 0.499, 0.250)
Se (0.498, 0.000, 0.741)
Ca (0.500, 0.000, 0.000)
K (0.999, 0.001, 0.750)
Se (0.762, 0.743, 0.000)
Se (0.256, 0.238, 0.499)
Se (0.756, 0.262, 0.999)
Se (0.738, 0.243, 0.500)
Ca (0.000, 0.500, 0.500)
Se (0.998, 0.500, 0.241)
U (0.000, 0.500, 0.000)
Se (0.262, 0.757, 0.500)
K (0.501, 0.501, 0.750)
Se (0.502, 0.000, 0.259)
Se (0.244, 0.738, 0.001)

Summary:
total moment = 0.000 μB per atom
E = -4.7124 eV per atom
ΔE_f (raw) = -1036 kJ/mol of formula units



Material: K3Ca2USe6
Method: DFT, PBE-GGA
State: optimized geometry

abc: 7.403 7.403 8.026
angles: 98.87 98.87 119.99
Site moments in Bohr magnetons follow the coordinates.
Element x y z (fractional)
K (0.171, 0.829, 0.500)  0.00
U (0.000, 0.000, 0.000)  1.30
Se (0.243, 0.243, 0.795)  -0.04
Se (0.932, 0.619, 0.795)  -0.04
Ca (0.334, 0.666, 0.000)  0.00
K (0.829, 0.171, 0.500)  0.00
Se (0.381, 0.068, 0.205)  -0.04
K (0.500, 0.500, 0.500)  0.00
Se (0.068, 0.381, 0.205)  -0.04
Ca (0.666, 0.334, 0.000)  0.00
Se (0.757, 0.757, 0.205)  -0.04
Se (0.619, 0.932, 0.795)  -0.04

Summary:
total moment = 0.083 μB per atom
E = -4.8319 eV per atom
ΔE_f (raw) = -1784 kJ/mol of formula units



Material: K3CaU3Se8
Method: DFT, PBE-GGA
State: optimized geometry

abc: 8.432 8.432 9.154
angles: 117.44 90.00 120.00
Site moments in Bohr magnetons follow the coordinates.
Element x y z (fractional)
U (0.500, 0.500, 0.500)  2.35
Ca (0.000, 0.000, 0.500)  0.00
Se (0.760, 0.038, 0.298)  -0.06
K (0.000, 0.500, 0.000)  0.00
Se (0.240, 0.962, 0.702)  -0.06
Se (0.722, 0.962, 0.702)  -0.06
Se (0.735, 0.471, 0.706)  -0.06
K (0.500, 0.500, 0.000)  0.00
Se (0.278, 0.038, 0.298)  -0.06
U (0.500, 0.000, 0.500)  2.35
Se (0.760, 0.519, 0.298)  -0.06
Se (0.265, 0.529, 0.294)  -0.06
U (0.000, 0.500, 0.500)  2.35
Se (0.240, 0.481, 0.702)  -0.06
K (0.000, 0.000, 0.000)  0.00

Summary:
total moment = 0.467 μB per atom
E = -5.8272 eV per atom
ΔE_f (raw) = -1966 kJ/mol of formula units



Material: K2CaZn2Se4
Method: DFT, PBE-GGA
State: optimized geometry

abc: 4.152 7.984 8.225
angles: 109.01 104.62 90.00
Element x y z (fractional)
Ca (0.000, 0.000, 0.000)
Se (0.792, 0.824, 0.584)
K (0.124, 0.548, 0.248)
K (0.876, 0.452, 0.752)
Se (0.477, 0.240, 0.954)
Zn (0.671, 0.977, 0.343)
Se (0.523, 0.760, 0.046)
Zn (0.329, 0.023, 0.657)
Se (0.208, 0.176, 0.416)

Summary:
total moment = 0.000 μB per atom
E = -3.4878 eV per atom
ΔE_f (raw) = -1033 kJ/mol of formula units



Material: KCa2Si
Method: DFT, PBE-GGA
State: optimized geometry

abc: 5.142 5.142 4.588
angles: 90.00 90.00 90.00
Site moments in Bohr magnetons follow the coordinates.
Element x y z (fractional)
Si (0.000, 0.500, 0.500)  0.03
Ca (0.000, 0.000, 0.000)  0.10
Ca (0.500, 0.500, 0.000)  0.10
K (0.500, 0.000, 0.500)  0.05

Summary:
total moment = 0.262 μB per atom
E = -2.4806 eV per atom
ΔE_f (raw) = 58 kJ/mol of formula units



Material: KCa2Si
Method: DFT, PBE-GGA
State: optimized geometry

abc: 3.853 4.407 9.034
angles: 90.00 90.00 90.00
Element x y z (fractional)
Si (0.500, 0.500, 0.849)
Ca (0.000, 0.000, 0.921)
Ca (0.500, 0.500, 0.181)
K (0.000, 0.000, 0.549)

Summary:
total moment = 0.022 μB per atom
E = -2.6152 eV per atom
ΔE_f (raw) = 6 kJ/mol of formula units



Material: KCa2Si2
Method: DFT, PBE-GGA
State: optimized geometry

abc: 5.212 5.212 6.759
angles: 67.32 67.32 90.00
Site moments in Bohr magnetons follow the coordinates.
Element x y z (fractional)
Ca (0.750, 0.250, 0.500)  0.06
Si (0.605, 0.605, 0.790)  0.09
K (0.000, 0.000, 0.000)  0.01
Ca (0.250, 0.750, 0.500)  0.06
Si (0.395, 0.395, 0.210)  0.09

Summary:
E above lowest polymorph = 72 meV per atom
total moment = 0.190 μB per atom
E = -3.2831 eV per atom
ΔE_f (raw) = -45 kJ/mol of formula units



Material: K2CaSi
Method: DFT, PBE-GGA
State: optimized geometry

abc: 6.998 6.998 4.693
angles: 72.83 72.83 126.26
Element x y z (fractional)
Ca (0.000, 0.500, 0.500)
K (0.000, 0.000, 0.000)
K (0.500, 0.500, 0.000)
Si (0.500, 0.000, 0.500)

Summary:
total moment = 0.000 μB per atom
E = -2.0589 eV per atom
ΔE_f (raw) = 134 kJ/mol of formula units



Material: KCa2Si
Method: DFT, PBE-GGA
State: optimized geometry

abc: 6.615 6.615 6.615
angles: 140.78 123.25 71.16
Element x y z (fractional)
Ca (0.428, 0.428, 0.000)
K (0.750, 0.250, 0.500)
Si (0.250, 0.750, 0.500)
Ca (0.072, 0.072, 0.000)

Summary:
total moment = 0.000 μB per atom
E = -2.5816 eV per atom
ΔE_f (raw) = 19 kJ/mol of formula units



Material: K2CaSi
Method: DFT, PBE-GGA
State: optimized geometry

abc: 4.070 3.891 11.371
angles: 69.82 90.00 90.00
Element x y z (fractional)
Si (0.000, 0.450, 0.551)
K (0.000, 0.038, 0.958)
K (0.500, 0.169, 0.334)
Ca (0.500, 0.844, 0.656)

Summary:
total moment = 0.000 μB per atom
E = -2.3441 eV per atom
ΔE_f (raw) = 23 kJ/mol of formula units



Material: K4CaSi
Method: DFT, PBE-GGA
State: optimized geometry

abc: 7.288 7.288 7.288
angles: 60.00 60.00 60.00
Element x y z (fractional)
K (0.377, 0.377, 0.869)
K (0.377, 0.377, 0.377)
K (0.869, 0.377, 0.377)
Ca (0.000, 0.000, 0.000)
K (0.377, 0.869, 0.377)
Si (0.750, 0.750, 0.750)

Summary:
total moment = 0.000 μB per atom
E = -1.4202 eV per atom
ΔE_f (raw) = 318 kJ/mol of formula units